Record 1
# SrHg2GeTe

A relaxed SrHg2GeTe crystal (GGA-PBE, Alexandria).

Structure (POSCAR):
```
SrHg2GeTe
1.0
5.2724 0.0000 0.0000
0.0000 5.2724 0.0000
0.0000 0.0000 5.8982
Sr Hg Ge Te
1 2 1 1
direct
0.0000 0.0000 0.0000 Sr
0.0000 0.5000 0.5000 Hg
0.5000 0.0000 0.5000 Hg
0.5000 0.5000 0.5000 Ge
0.5000 0.5000 0.0000 Te
```

* total magnetic moment: 0.000 μB/cell
* calculated total energy: -11.49 eV/cell
* uncorrected formation energy: -0.289 eV/atom

Record 2
# GdS2I

A relaxed GdS2I crystal (GGA-PBE, Alexandria).

Structure (POSCAR):
```
GdS2I
1.0
2.0377 1.1764 8.2767
-2.0377 1.1764 8.2767
0.0000 -2.3529 8.2767
Gd S I
1 2 1
direct
0.0000 0.0000 0.0000 Gd
0.2765 0.2765 0.2765 S
0.7235 0.7235 0.7235 S
0.5000 0.5000 0.5000 I
```

* total magnetic moment: 5.467 μB/cell
* calculated total energy: -27.18 eV/cell
* uncorrected formation energy: -0.825 eV/atom

Record 3
# LaY2Fe

A relaxed LaY2Fe crystal (GGA-PBE, Alexandria).

Structure (POSCAR):
```
LaY2Fe
1.0
-1.8077 2.7802 5.2905
1.8077 -2.7802 5.2905
1.8077 2.7802 -5.2905
La Y Fe
1 2 1
direct
0.0000 0.0000 0.0000 La
0.3149 0.8149 0.5000 Y
0.6265 0.6265 0.0000 Y
0.8255 0.3255 0.5000 Fe
```

* polymorph energy (0 for the lowest one): 2.2 kJ per mole of atoms
* total magnetic moment: 0.345 μB/cell
* calculated total energy: -25.84 eV/cell
* ΔH_f (0 K): 46 kJ/mol of formula units

Record 4
# CaRuSe2

A relaxed CaRuSe2 crystal (GGA-PBE, Alexandria).

Structure (POSCAR):
```
CaRuSe2
1.0
3.8325 0.0000 0.0000
0.0000 3.8554 0.0000
0.0000 0.0000 5.7317
Ca Ru Se
1 1 2
direct
0.0000 0.0000 0.0000 Ca
0.5000 0.5000 0.5953 Ru
0.0000 0.0000 0.5089 Se
0.5000 0.5000 0.0440 Se
```

* polymorph energy (0 for the lowest one): 30.6 kJ per mole of atoms
* total magnetic moment: 0.614 μB/cell
* calculated total energy: -20.48 eV/cell
* uncorrected formation energy: -0.559 eV/atom

Record 5
# SrMgZn2Au4

A relaxed SrMgZn2Au4 crystal (GGA-PBE, Alexandria).

Structure (POSCAR):
```
SrMgZn2Au4
1.0
2.2711 1.3112 9.1720
-2.2711 1.3112 9.1720
0.0000 -2.6224 9.1720
Sr Mg Zn Au
1 1 2 4
direct
0.0000 0.0000 0.0000 Sr
0.5000 0.5000 0.5000 Mg
0.2387 0.2387 0.2387 Zn
0.7613 0.7613 0.7613 Zn
0.1327 0.1327 0.1327 Au
0.4023 0.4023 0.4023 Au
0.5977 0.5977 0.5977 Au
0.8673 0.8673 0.8673 Au
```

* total magnetic moment: 0.000 μB/cell
* calculated total energy: -22.61 eV/cell
* ΔH_f (0 K): -354 kJ/mol of formula units

Record 6
# Rb4Tb3PaSe8

A relaxed Rb4Tb3PaSe8 crystal (GGA-PBE, Alexandria).

Structure (POSCAR):
```
Rb4Tb3PaSe8
1.0
4.2568 2.4577 8.0247
-4.2568 2.4577 8.0247
0.0000 -4.9153 8.0247
Rb Tb Pa Se
4 3 1 8
direct
0.0000 0.0000 0.0000 Rb
0.0000 0.5000 0.5000 Rb
0.5000 0.0000 0.5000 Rb
0.5000 0.5000 0.0000 Rb
0.0000 0.0000 0.5000 Tb
0.0000 0.5000 0.0000 Tb
0.5000 0.0000 0.0000 Tb
0.5000 0.5000 0.5000 Pa
0.2323 0.2323 0.2323 Se
0.2332 0.7324 0.7324 Se
0.2676 0.2676 0.7668 Se
0.2676 0.7668 0.2676 Se
0.7324 0.2332 0.7324 Se
0.7324 0.7324 0.2332 Se
0.7668 0.2676 0.2676 Se
0.7677 0.7677 0.7677 Se
```

* total magnetic moment: 1.818 μB/cell
* calculated total energy: -80.94 eV/cell
* uncorrected formation energy: -1.613 eV/atom

Record 7
# Pm6GeCl8

A relaxed Pm6GeCl8 crystal (GGA-PBE, Alexandria).

Structure (POSCAR):
```
Pm6GeCl8
1.0
3.5293 2.0376 10.1468
-3.5293 2.0376 10.1468
0.0000 -4.0753 10.1468
Pm Ge Cl
6 1 8
direct
0.1230 0.4470 0.7706 Pm
0.2294 0.8770 0.5530 Pm
0.4470 0.7706 0.1230 Pm
0.5530 0.2294 0.8770 Pm
0.7706 0.1230 0.4470 Pm
0.8770 0.5530 0.2294 Pm
0.5000 0.5000 0.5000 Ge
0.0608 0.7240 0.3922 Cl
0.1666 0.1666 0.1666 Cl
0.2760 0.6078 0.9392 Cl
0.3922 0.0608 0.7240 Cl
0.6078 0.9392 0.2760 Cl
0.7240 0.3922 0.0608 Cl
0.8334 0.8334 0.8334 Cl
0.9392 0.2760 0.6078 Cl
```

* total magnetic moment: 0.000 μB/cell
* calculated total energy: -73.70 eV/cell
* uncorrected formation energy: -1.721 eV/atom

- Among the records above, which one has the lowest calculated total energy?
  Rb4Tb3PaSe8

- Which value of total magnetic moment does entry 1 give?
  0.000 μB/cell

- What is the total magnetic moment in the first record?
  0.000 μB/cell

- Which of these has the lowest calculated total energy?
  Rb4Tb3PaSe8